First-principles (PBE with a Hubbard U) data for a relaxed structure of CrCuOF2, as listed in the Alexandria database.

Summary:
The value obtained for the electronic total energy is -5.49 eV per atom. For the energy above the most stable polymorph in this dataset, the calculation gives 0 kJ/mol of formula units. The magnetic moment is 3.0 μB per cell.

a b c (Å): 3.8999 3.8999 3.9065
angles (deg): 90.00 90.00 90.00
Closest atoms and distances in Å follow each position.
Space group P4/mmm (No. 123)
One atom of each set of equivalent atoms:
Cr 0.0000 0.0000 0.0000  4 F 1.95, 2 O 1.95
Cu 0.5000 0.5000 0.5000  4 O 2.76, 8 F 2.76
O 0.0000 0.0000 0.5000  2 Cr 1.95
F 0.0000 0.5000 0.0000  2 Cr 1.95